Hf3FeO GGA+U optimized geometry; E = -8.820 eV per atom; size of the total moment = 3.0 Bohr magnetons per cell; energy above the most stable polymorph in this dataset = 0.00 eV per formula unit; D(E_F) = 4.48 states/eV/cell
1.0
4.396 0.000 0.000
0.000 4.396 0.000
0.000 0.000 4.396
Hf Fe O
3 1 1
Direct
0.000 0.000 0.500
0.000 0.500 0.000
0.500 0.000 0.000
0.500 0.500 0.500
0.000 0.000 0.000